1.
Entry from Alexandria: a relaxed structure of AlHg3 (GGA-PBE).

Output
formation energy from the elements: 210 meV per atom
M_tot: 0.00 μB/f.u.

Cell lengths 5.7832, 5.7832, 5.7832 Å; angles 90.00, 90.00, 90.00 degrees
Last column: nearest neighbours and their distance in Å.
Space group Pm-3n (No. 223)
Inequivalent atoms, fractional coordinates:
1 Al 0.0000 0.0000 0.0000 [2 per cell]  12 Hg 3.23
2 Hg 0.0000 0.2500 0.5000 [6 per cell]  2 Hg 2.89, 4 Al 3.23

2.
Entry from Alexandria: a relaxed structure of Al6Hg (GGA-PBE).

Output
formation energy from the elements: 658 meV per atom
M_tot: 0.00 μB/f.u.

Cell lengths 7.4023, 7.4023, 7.4023 Å; angles 90.00, 90.00, 90.00 degrees
Last column: nearest neighbours and their distance in Å.
Space group Im-3m (No. 229)
Inequivalent atoms, fractional coordinates:
1 Al 0.0000 0.2500 0.5000 [12 per cell]  4 Al 2.62
2 Hg 0.0000 0.0000 0.0000 [2 per cell]  24 Al 4.14

3.
Entry from Alexandria: a relaxed structure of Al8Hg (GGA-PBE).

Output
formation energy from the elements: 88 meV per atom
M_tot: 0.00 μB/f.u.

Cell lengths 8.8868, 8.8868, 3.9764 Å; angles 90.00, 90.00, 90.00 degrees
Last column: nearest neighbours and their distance in Å.
Space group I4/mmm (No. 139)
Inequivalent atoms, fractional coordinates:
1 Al 0.0000 0.3392 0.0000 [8 per cell]  11 Al 2.83-2.92, 1 Hg 3.01
2 Al 0.1722 0.1722 0.5000 [8 per cell]  10 Al 2.79-3.06, 2 Hg 2.94
3 Hg 0.0000 0.0000 0.0000 [2 per cell]  12 Al 2.94-3.01

4.
Entry from Alexandria: a relaxed structure of AlHg3 (GGA-PBE).

Output
formation energy from the elements: 167 meV per atom
M_tot: 0.00 μB/f.u.

Cell lengths 4.3760, 4.3760, 9.9124 Å; angles 90.00, 90.00, 90.00 degrees
Last column: nearest neighbours and their distance in Å.
Space group I4/mmm (No. 139)
Inequivalent atoms, fractional coordinates:
1 Al 0.0000 0.0000 0.0000 [2 per cell]  12 Hg 3.09-3.31
2 Hg 0.0000 0.0000 0.5000 [2 per cell]  4 Al 3.09, 8 Hg 3.31
3 Hg 0.0000 0.5000 0.2500 [4 per cell]  8 Hg 3.09-3.31, 4 Al 3.31

5.
Entry from Alexandria: a relaxed structure of AlHg2 (GGA-PBE).

Output
formation energy from the elements: 257 meV per atom
M_tot: 0.00 μB/f.u.

Cell lengths 5.0719, 5.0719, 3.1597 Å; angles 90.00, 90.00, 120.00 degrees
Last column: nearest neighbours and their distance in Å.
Space group P6/mmm (No. 191)
Inequivalent atoms, fractional coordinates:
1 Al 0.0000 0.0000 0.0000 [1 per cell]  2 Al 3.16, 12 Hg 3.33
2 Hg 0.3333 0.6667 0.5000 [2 per cell]  5 Hg 2.93-3.16

6.
Entry from Alexandria: a relaxed structure of Al3Hg (GGA-PBE).

Output
formation energy from the elements: 131 meV per atom
M_tot: 0.00 μB/f.u.
polymorph energy (0 for the lowest one): 26 meV per atom

Cell lengths 3.0881, 3.0881, 7.8097 Å; angles 90.00, 90.00, 90.00 degrees
Last column: nearest neighbours and their distance in Å.
Space group P4/mmm (No. 123)
Inequivalent atoms, fractional coordinates:
1 Al 0.0000 0.0000 0.0000 [1 per cell]  12 Al 2.81-3.09
2 Al 0.5000 0.5000 0.2268 [2 per cell]  8 Al 2.81-3.09, 4 Hg 3.05
3 Hg 0.0000 0.0000 0.5000 [1 per cell]  8 Al 3.05, 4 Hg 3.09

7.
Entry from Alexandria: a relaxed structure of Al3Hg (GGA-PBE).

Output
formation energy from the elements: 185 meV per atom
M_tot: 0.00 μB/f.u.
polymorph energy (0 for the lowest one): 80 meV per atom

Cell lengths 5.9346, 5.9346, 4.9740 Å; angles 90.00, 90.00, 120.00 degrees
Last column: nearest neighbours and their distance in Å.
Space group P6_3/mmc (No. 194)
Inequivalent atoms, fractional coordinates:
1 Al 0.1581 0.3162 0.2500 [6 per cell]  8 Al 2.82-3.12, 4 Hg 2.97-3.07
2 Hg 0.3333 0.6667 0.7500 [2 per cell]  12 Al 2.97-3.07

8.
Entry from Alexandria: a relaxed structure of Al3Hg (GGA-PBE).

Output
formation energy from the elements: 135 meV per atom
M_tot: 0.00 μB/f.u.
polymorph energy (0 for the lowest one): 30 meV per atom

Cell lengths 8.9716, 3.1738, 5.4798 Å; angles 90.00, 104.38, 90.00 degrees
Last column: nearest neighbours and their distance in Å.
Space group C2/m (No. 12)
Inequivalent atoms, fractional coordinates:
1 Al 0.0000 0.0000 0.0000 [2 per cell]  6 Al 2.76-2.84
2 Al 0.2478 0.5000 0.2276 [4 per cell]  5 Al 2.76-2.96, 3 Hg 2.86-2.97
3 Hg 0.0000 0.5000 0.5000 [2 per cell]  10 Al 2.86-3.17, 2 Hg 3.17